Below is a relaxed structure of BaLaFe2O6, with properties calculated at the PBE+U level.

```
BaLaFe2O6
1.0
-2.393 4.998 -0.964
-2.991 0.828 -4.691
-5.591 0.544 0.289
O Fe Ba La
6 2 1 1
Cartesian
-2.796 0.272 0.144
-1.496 0.414 -2.346
-3.992 2.771 -0.337
-4.291 0.686 -2.201
-2.692 2.913 -2.827
-1.197 2.499 -0.482
-8.232 4.778 -4.025
-2.744 1.593 -1.342
-5.488 3.185 -2.683
0.000 0.000 0.000
```

Space group = Fm-3m
V = 12.58 Å³/atom
Calculated density = 6.39 g cm⁻³
VASP energy = -69.42 eV per cell